1.
The following is a PBE-GGA calculation of a geometry-optimized AsWAu2 structure, from the Alexandria database.

abc: 4.800 2.826 5.388
angles: 72.76 90.00 90.00
Positions (direct):
Au 0.000 0.646 0.505
Au 0.000 0.854 0.995
W 0.500 0.250 0.250
As 0.500 0.750 0.750



2.
The following is a PBE-GGA calculation of a geometry-optimized AsW2Au structure, from the Alexandria database.

abc: 4.463 3.883 3.883
angles: 90.00 90.00 90.00
Positions (direct):
Au 0.500 0.000 0.500
W 0.000 0.500 0.500
W 0.000 0.000 0.000
As 0.500 0.500 0.000



3.
The following is a PBE-GGA calculation of a geometry-optimized AsWAu2 structure, from the Alexandria database.

abc: 7.515 7.515 5.923
angles: 50.63 50.63 90.00
Last column: magnetic moment on the atom in μB.
Positions (direct):
Au 0.875 0.867 0.750  0.03
Au 0.133 0.625 0.250  0.03
Au 0.617 0.125 0.250  0.03
Au 0.375 0.383 0.750  0.03
W 0.000 0.000 0.000  0.72
W 0.750 0.250 0.500  0.74
As 0.250 0.750 0.500  -0.03
As 0.500 0.500 0.000  -0.03



4.
The following is a PBE-GGA calculation of a geometry-optimized AsW2Au structure, from the Alexandria database.

abc: 4.193 2.875 5.674
angles: 76.45 90.00 90.00
Positions (direct):
W 0.000 0.160 0.008
W 0.000 0.340 0.492
Au 0.500 0.750 0.750
As 0.500 0.250 0.250



5.
The following is a PBE-GGA calculation of a geometry-optimized AsWAu2 structure, from the Alexandria database.

abc: 2.847 2.847 8.740
angles: 90.00 90.00 89.96
Positions (direct):
As 0.500 0.500 0.750
Au 0.000 0.000 0.485
Au 0.000 0.000 0.015
W 0.500 0.500 0.250



6.
The following is a PBE-GGA calculation of a geometry-optimized AsWAu2 structure, from the Alexandria database.

abc: 3.208 3.208 6.736
angles: 90.00 90.00 90.00
Positions (direct):
As 0.500 0.500 0.717
Au 0.000 0.000 0.993
Au 0.500 0.500 0.262
W 0.000 0.000 0.529



Number 1: energy of formation from the pure elements 0.479 eV/atom, VASP energy -5.560 eV/atom. Number 2: energy of formation from the pure elements 0.730 eV/atom, VASP energy -7.728 eV/atom. Number 3: energy of formation from the pure elements 0.559 eV/atom, VASP energy -5.480 eV/atom. Number 4: energy of formation from the pure elements 0.466 eV/atom, VASP energy -7.992 eV/atom. Number 5: energy of formation from the pure elements 0.336 eV/atom, VASP energy -5.704 eV/atom. Number 6: energy of formation from the pure elements 0.264 eV/atom, VASP energy -5.775 eV/atom.